# ErMgPd2, optimized geometry, DFT PBEsol
# Raw total energy   -5.45 eV per atom
# ΔE_f   -18.6 kcal/mol of atoms
data_ErMgPd2
_chemical_formula_sum 'Er4 Mg4 Pd8'
_symmetry_space_group_name_H-M 'F m -3 m'
_symmetry_Int_Tables_number 225
_symmetry_space_group_name_Hall '-F 4 2 3'
_cell_length_a 6.611
_cell_length_b 6.611
_cell_length_c 6.611
_cell_angle_alpha 90.00
_cell_angle_beta 90.00
_cell_angle_gamma 90.00
loop_
_atom_site_label
_atom_site_type_symbol
_atom_site_fract_x
_atom_site_fract_y
_atom_site_fract_z
Er1 Er 0.000 0.000 0.000
Mg1 Mg 0.000 0.000 0.500
Pd1 Pd 0.250 0.250 0.250